No. 1
# CsLiCl2 | the Alexandria database | GGA-PBEsol | relaxed
data_CsLiCl2
_symmetry_space_group_name_H-M 'I -4 2 d'
_symmetry_Int_Tables_number 122
_symmetry_space_group_name_Hall 'I -4 2bw'
_cell_length_a 7.4074
_cell_length_b 7.4074
_cell_length_c 8.2650
_cell_angle_alpha 90.00
_cell_angle_beta 90.00
_cell_angle_gamma 90.00
loop_
_atom_site_label
_atom_site_type_symbol
_atom_site_fract_x
_atom_site_fract_y
_atom_site_fract_z
_atom_site_occupancy
Cs1 Cs 0.0000 0.0000 0.0000 1
Li1 Li 0.0000 0.0000 0.5000 1
Cl1 Cl 0.1396 0.7500 0.6250 1
# Energy relative to the elements, uncorrected (eV per formula unit): -7.49
# Volume (A^3/atom): 28.3

=====

No. 2
# CsLiCl2 | the Alexandria database | GGA-PBEsol | relaxed
data_CsLiCl2
_symmetry_space_group_name_H-M 'P 4/n m m'
_symmetry_Int_Tables_number 129
_cell_length_a 4.8345
_cell_length_b 4.8345
_cell_length_c 9.3954
_cell_angle_alpha 90.00
_cell_angle_beta 90.00
_cell_angle_gamma 90.00
loop_
_symmetry_equiv_pos_as_xyz
'x,y,z'
'-x,-y,-z'
'-y+1/2,x,z'
'y+1/2,-x,-z'
'-x+1/2,-y+1/2,z'
'x+1/2,y+1/2,-z'
'y,-x+1/2,z'
'-y,x+1/2,-z'
'x+1/2,-y,-z'
'-x+1/2,y,z'
'-y,-x,-z'
'y,x,z'
'-x,y+1/2,-z'
'x,-y+1/2,z'
'y+1/2,x+1/2,-z'
'-y+1/2,-x+1/2,z'
loop_
_atom_site_label
_atom_site_type_symbol
_atom_site_fract_x
_atom_site_fract_y
_atom_site_fract_z
_atom_site_occupancy
Cs1 Cs 0.2500 0.2500 0.1952 1
Li1 Li 0.2500 0.2500 0.5830 1
Cl1 Cl 0.2500 0.2500 0.8297 1
Cl2 Cl 0.2500 0.7500 0.5000 1
# Energy relative to the elements, uncorrected (eV per formula unit): -7.63
# Volume (A^3/atom): 27.4

=====

No. 3
# CsLi3Cl4 | the Alexandria database | GGA-PBEsol | relaxed
data_CsLi3Cl4
_symmetry_space_group_name_H-M 'C m c m'
_symmetry_Int_Tables_number 63
_symmetry_space_group_name_Hall '-C 2c 2'
_cell_length_a 4.4479
_cell_length_b 31.3102
_cell_length_c 5.1482
_cell_angle_alpha 90.00
_cell_angle_beta 90.00
_cell_angle_gamma 90.00
loop_
_atom_site_label
_atom_site_type_symbol
_atom_site_fract_x
_atom_site_fract_y
_atom_site_fract_z
_atom_site_occupancy
Cs1 Cs 0.0000 0.1533 0.2500 1
Li1 Li 0.0000 0.0334 0.2500 1
Li2 Li 0.0000 0.2739 0.2500 1
Li3 Li 0.0000 0.4264 0.2500 1
Cl1 Cl 0.0000 0.0423 0.7500 1
Cl2 Cl 0.0000 0.2580 0.7500 1
Cl3 Cl 0.0000 0.3491 0.2500 1
Cl4 Cl 0.0000 0.4343 0.7500 1
# Energy relative to the elements, uncorrected (eV per formula unit): -14.83
# Volume (A^3/atom): 22.4

=====

No. 4
# CsLiCl2 | the Alexandria database | GGA-PBEsol | relaxed
data_CsLiCl2
_symmetry_space_group_name_H-M 'C 1 2/c 1'
_symmetry_Int_Tables_number 15
_cell_length_a 7.1871
_cell_length_b 13.6183
_cell_length_c 9.5931
_cell_angle_alpha 90.00
_cell_angle_beta 98.61
_cell_angle_gamma 90.00
loop_
_symmetry_equiv_pos_as_xyz
'x,y,z'
'-x,-y,-z'
'-x,y,-z+1/2'
'x,-y,z+1/2'
'x+1/2,y+1/2,z'
'-x+1/2,-y+1/2,-z'
'-x+1/2,y+1/2,-z+1/2'
'x+1/2,-y+1/2,z+1/2'
loop_
_atom_site_label
_atom_site_type_symbol
_atom_site_fract_x
_atom_site_fract_y
_atom_site_fract_z
_atom_site_occupancy
Cs1 Cs 0.2235 0.0956 0.4390 1
Li1 Li 0.2412 0.1992 0.8645 1
Cl1 Cl 0.0000 0.1017 0.7500 1
Cl2 Cl 0.0000 0.3063 0.2500 1
Cl3 Cl 0.1960 0.3670 0.9082 1
# Energy relative to the elements, uncorrected (eV per formula unit): -7.61
# Volume (A^3/atom): 29.0

=====

No. 5
# Cs3Li2Cl5 | the Alexandria database | GGA-PBEsol | relaxed
data_Cs3Li2Cl5
_symmetry_space_group_name_H-M 'I m m 2'
_symmetry_Int_Tables_number 44
_cell_length_a 4.1339
_cell_length_b 23.8276
_cell_length_c 5.7241
_cell_angle_alpha 90.00
_cell_angle_beta 90.00
_cell_angle_gamma 90.00
loop_
_symmetry_equiv_pos_as_xyz
'x,y,z'
'-x,-y,z'
'-x,y,z'
'x,-y,z'
'x+1/2,y+1/2,z+1/2'
'-x+1/2,-y+1/2,z+1/2'
'-x+1/2,y+1/2,z+1/2'
'x+1/2,-y+1/2,z+1/2'
loop_
_atom_site_label
_atom_site_type_symbol
_atom_site_fract_x
_atom_site_fract_y
_atom_site_fract_z
_atom_site_occupancy
Cs1 Cs 0.0000 0.0000 0.0000 1
Cs2 Cs 0.0000 0.1237 0.4978 1
Li1 Li 0.0000 0.2847 0.4809 1
Cl1 Cl 0.0000 0.2595 0.0791 1
Cl2 Cl 0.0000 0.3816 0.5059 1
Cl3 Cl 0.0000 0.5000 0.0012 1
# Energy relative to the elements, uncorrected (eV per formula unit): -19.09
# Volume (A^3/atom): 28.2

=====

No. 6
# Cs2LiNdCl6 | the Alexandria database | GGA-PBEsol | relaxed
data_Cs2LiNdCl6
_symmetry_space_group_name_H-M 'F m -3 m'
_symmetry_Int_Tables_number 225
_symmetry_space_group_name_Hall '-F 4 2 3'
_cell_length_a 10.5153
_cell_length_b 10.5153
_cell_length_c 10.5153
_cell_angle_alpha 90.00
_cell_angle_beta 90.00
_cell_angle_gamma 90.00
loop_
_atom_site_label
_atom_site_type_symbol
_atom_site_fract_x
_atom_site_fract_y
_atom_site_fract_z
_atom_site_occupancy
Cs1 Cs 0.2500 0.2500 0.2500 1
Li1 Li 0.0000 0.0000 0.0000 1
Nd1 Nd 0.0000 0.0000 0.5000 1
Cl1 Cl 0.0000 0.0000 0.2432 1
# Energy relative to the elements, uncorrected (eV per formula unit): -21.11
# Volume (A^3/atom): 29.1

=====

No. 7
# CsLiSCl2 | the Alexandria database | GGA-PBEsol | relaxed
data_CsLiSCl2
_symmetry_space_group_name_H-M 'P 4/m m m'
_symmetry_Int_Tables_number 123
_symmetry_space_group_name_Hall '-P 4 2'
_cell_length_a 6.1980
_cell_length_b 6.1980
_cell_length_c 5.5792
_cell_angle_alpha 90.00
_cell_angle_beta 90.00
_cell_angle_gamma 90.00
loop_
_atom_site_label
_atom_site_type_symbol
_atom_site_fract_x
_atom_site_fract_y
_atom_site_fract_z
_atom_site_occupancy
Cs1 Cs 0.0000 0.0000 0.0000 1
Li1 Li 0.5000 0.5000 0.5000 1
S1 S 0.0000 0.0000 0.5000 1
Cl1 Cl 0.0000 0.5000 0.0000 1
# Energy relative to the elements, uncorrected (eV per formula unit): -1.15
# Volume (A^3/atom): 42.9

=====

No. 8
# Cs2LiTmCl6 | the Alexandria database | GGA-PBEsol | relaxed
data_Cs2LiTmCl6
_symmetry_space_group_name_H-M 'F m -3 m'
_symmetry_Int_Tables_number 225
_symmetry_space_group_name_Hall '-F 4 2 3'
_cell_length_a 10.3016
_cell_length_b 10.3016
_cell_length_c 10.3016
_cell_angle_alpha 90.00
_cell_angle_beta 90.00
_cell_angle_gamma 90.00
loop_
_atom_site_label
_atom_site_type_symbol
_atom_site_fract_x
_atom_site_fract_y
_atom_site_fract_z
_atom_site_occupancy
Cs1 Cs 0.2500 0.2500 0.2500 1
Li1 Li 0.0000 0.0000 0.0000 1
Tm1 Tm 0.0000 0.0000 0.5000 1
Cl1 Cl 0.0000 0.0000 0.2501 1
# Energy relative to the elements, uncorrected (eV per formula unit): -21.47
# Volume (A^3/atom): 27.3

=====

No. 9
# Cs2NaLuCl6 | the Alexandria database | GGA-PBEsol | relaxed
data_Cs2NaLuCl6
_symmetry_space_group_name_H-M 'F m -3 m'
_symmetry_Int_Tables_number 225
_symmetry_space_group_name_Hall '-F 4 2 3'
_cell_length_a 10.5517
_cell_length_b 10.5517
_cell_length_c 10.5517
_cell_angle_alpha 90.00
_cell_angle_beta 90.00
_cell_angle_gamma 90.00
loop_
_atom_site_label
_atom_site_type_symbol
_atom_site_fract_x
_atom_site_fract_y
_atom_site_fract_z
_atom_site_occupancy
Cs1 Cs 0.2500 0.2500 0.2500 1
Na1 Na 0.0000 0.0000 0.0000 1
Lu1 Lu 0.0000 0.0000 0.5000 1
Cl1 Cl 0.0000 0.0000 0.2585 1
# Energy relative to the elements, uncorrected (eV per formula unit): -21.44
# Volume (A^3/atom): 29.4

=====

No. 10
# CsMgCl3 | the Alexandria database | GGA-PBEsol | relaxed
data_CsMgCl3
_symmetry_space_group_name_H-M 'P 63/m m c'
_symmetry_Int_Tables_number 194
_symmetry_space_group_name_Hall '-P 6c 2c'
_cell_length_a 7.2016
_cell_length_b 7.2016
_cell_length_c 6.1443
_cell_angle_alpha 90.00
_cell_angle_beta 90.00
_cell_angle_gamma 120.00
loop_
_atom_site_label
_atom_site_type_symbol
_atom_site_fract_x
_atom_site_fract_y
_atom_site_fract_z
_atom_site_occupancy
Cs1 Cs 0.3333 0.6667 0.2500 1
Mg1 Mg 0.0000 0.0000 0.0000 1
Cl1 Cl 0.1573 0.3146 0.7500 1
# Energy relative to the elements, uncorrected (eV per formula unit): -9.86
# Volume (A^3/atom): 27.6

=====

No. 11
# Cs2MgCl4 | the Alexandria database | GGA-PBEsol | relaxed
data_Cs2MgCl4
_symmetry_space_group_name_H-M 'P n m a'
_symmetry_Int_Tables_number 62
_cell_length_a 9.7108
_cell_length_b 7.2270
_cell_length_c 13.4644
_cell_angle_alpha 90.00
_cell_angle_beta 90.00
_cell_angle_gamma 90.00
loop_
_symmetry_equiv_pos_as_xyz
'x,y,z'
'-x,-y,-z'
'-x+1/2,-y,z+1/2'
'x+1/2,y,-z+1/2'
'x+1/2,-y+1/2,-z+1/2'
'-x+1/2,y+1/2,z+1/2'
'-x,y+1/2,-z'
'x,-y+1/2,z'
loop_
_atom_site_label
_atom_site_type_symbol
_atom_site_fract_x
_atom_site_fract_y
_atom_site_fract_z
_atom_site_occupancy
Cs1 Cs 0.0171 0.2500 0.1792 1
Cs2 Cs 0.1307 0.7500 0.4212 1
Mg1 Mg 0.2241 0.7500 0.0721 1
Cl1 Cl 0.0134 0.2500 0.9157 1
Cl2 Cl 0.1760 0.5045 0.6501 1
Cl3 Cl 0.1853 0.2500 0.4115 1
# Energy relative to the elements, uncorrected (eV per formula unit): -13.61
# Volume (A^3/atom): 33.7

=====

No. 12
# Cs2MnCl4 | the Alexandria database | GGA-PBEsol | relaxed
data_Cs2MnCl4
_symmetry_space_group_name_H-M 'I 4/m m m'
_symmetry_Int_Tables_number 139
_symmetry_space_group_name_Hall '-I 4 2'
_cell_length_a 5.0700
_cell_length_b 5.0700
_cell_length_c 16.6578
_cell_angle_alpha 90.00
_cell_angle_beta 90.00
_cell_angle_gamma 90.00
loop_
_atom_site_label
_atom_site_type_symbol
_atom_site_fract_x
_atom_site_fract_y
_atom_site_fract_z
_atom_site_occupancy
Cs1 Cs 0.0000 0.0000 0.1427 1
Mn1 Mn 0.0000 0.0000 0.5000 1
Cl1 Cl 0.0000 0.0000 0.3511 1
Cl2 Cl 0.0000 0.5000 0.0000 1
# Energy relative to the elements, uncorrected (eV per formula unit): -11.20
# Volume (A^3/atom): 30.6

=====

No. 13
# Cs3MnCl5 | the Alexandria database | GGA-PBEsol | relaxed
data_Cs3MnCl5
_symmetry_space_group_name_H-M 'I 4/m c m'
_symmetry_Int_Tables_number 140
_symmetry_space_group_name_Hall '-I 4 2c'
_cell_length_a 9.1059
_cell_length_b 9.1059
_cell_length_c 14.5940
_cell_angle_alpha 90.00
_cell_angle_beta 90.00
_cell_angle_gamma 90.00
loop_
_atom_site_label
_atom_site_type_symbol
_atom_site_fract_x
_atom_site_fract_y
_atom_site_fract_z
_atom_site_occupancy
Cs1 Cs 0.0000 0.0000 0.2500 1
Cs2 Cs 0.1619 0.3381 0.0000 1
Mn1 Mn 0.0000 0.5000 0.2500 1
Cl1 Cl 0.0000 0.0000 0.0000 1
Cl2 Cl 0.1433 0.3567 0.3452 1
# Energy relative to the elements, uncorrected (eV per formula unit): -15.17
# Volume (A^3/atom): 33.6

=====

No. 14
# Cs2MoCl6 | the Alexandria database | GGA-PBEsol | relaxed
data_Cs2MoCl6
_symmetry_space_group_name_H-M 'F m -3 m'
_symmetry_Int_Tables_number 225
_symmetry_space_group_name_Hall '-F 4 2 3'
_cell_length_a 10.1704
_cell_length_b 10.1704
_cell_length_c 10.1704
_cell_angle_alpha 90.00
_cell_angle_beta 90.00
_cell_angle_gamma 90.00
loop_
_atom_site_label
_atom_site_type_symbol
_atom_site_fract_x
_atom_site_fract_y
_atom_site_fract_z
_atom_site_occupancy
Cs1 Cs 0.2500 0.2500 0.2500 1
Mo1 Mo 0.0000 0.0000 0.0000 1
Cl1 Cl 0.0000 0.0000 0.2331 1
# Energy relative to the elements, uncorrected (eV per formula unit): -13.11
# Volume (A^3/atom): 29.2

=====

No. 15
# Cs3Mo2Cl9 | the Alexandria database | GGA-PBEsol | relaxed
data_Cs3Mo2Cl9
_symmetry_space_group_name_H-M 'P 63/m m c'
_symmetry_Int_Tables_number 194
_symmetry_space_group_name_Hall '-P 6c 2c'
_cell_length_a 7.2353
_cell_length_b 7.2353
_cell_length_c 17.7325
_cell_angle_alpha 90.00
_cell_angle_beta 90.00
_cell_angle_gamma 120.00
loop_
_atom_site_label
_atom_site_type_symbol
_atom_site_fract_x
_atom_site_fract_y
_atom_site_fract_z
_atom_site_occupancy
Cs1 Cs 0.0000 0.0000 0.2500 1
Cs2 Cs 0.3333 0.6667 0.0708 1
Mo1 Mo 0.3333 0.6667 0.6726 1
Cl1 Cl 0.0089 0.5044 0.7500 1
Cl2 Cl 0.1777 0.3554 0.5954 1
# Energy relative to the elements, uncorrected (eV per formula unit): -19.94
# Volume (A^3/atom): 28.7

=====

No. 16
# Cs2N2Cl | the Alexandria database | GGA-PBEsol | relaxed
data_Cs2N2Cl
_symmetry_space_group_name_H-M 'P 4/m b m'
_symmetry_Int_Tables_number 127
_symmetry_space_group_name_Hall '-P 4 2ab'
_cell_length_a 8.2875
_cell_length_b 8.2875
_cell_length_c 3.9024
_cell_angle_alpha 90.00
_cell_angle_beta 90.00
_cell_angle_gamma 90.00
loop_
_atom_site_label
_atom_site_type_symbol
_atom_site_fract_x
_atom_site_fract_y
_atom_site_fract_z
_atom_site_occupancy
Cs1 Cs 0.2271 0.2729 0.0000 1
N1 N 0.0503 0.5503 0.5000 1
Cl1 Cl 0.0000 0.0000 0.5000 1
# Energy relative to the elements, uncorrected (eV per formula unit): -4.31
# Volume (A^3/atom): 26.8

=====

No. 17
# CsNCl3 | the Alexandria database | GGA-PBEsol | relaxed
data_CsNCl3
_symmetry_space_group_name_H-M 'P m -3 m'
_symmetry_Int_Tables_number 221
_symmetry_space_group_name_Hall '-P 4 2 3'
_cell_length_a 4.7147
_cell_length_b 4.7147
_cell_length_c 4.7147
_cell_angle_alpha 90.00
_cell_angle_beta 90.00
_cell_angle_gamma 90.00
loop_
_atom_site_label
_atom_site_type_symbol
_atom_site_fract_x
_atom_site_fract_y
_atom_site_fract_z
_atom_site_occupancy
Cs1 Cs 0.0000 0.0000 0.0000 1
N1 N 0.5000 0.5000 0.5000 1
Cl1 Cl 0.0000 0.5000 0.5000 1
# Energy relative to the elements, uncorrected (eV per formula unit): 0.10
# Volume (A^3/atom): 21.0

=====

No. 18
# CsNaCl2 | the Alexandria database | GGA-PBEsol | relaxed
data_CsNaCl2
_symmetry_space_group_name_H-M 'I -4 2 d'
_symmetry_Int_Tables_number 122
_symmetry_space_group_name_Hall 'I -4 2bw'
_cell_length_a 7.8870
_cell_length_b 7.8870
_cell_length_c 8.5327
_cell_angle_alpha 90.00
_cell_angle_beta 90.00
_cell_angle_gamma 90.00
loop_
_atom_site_label
_atom_site_type_symbol
_atom_site_fract_x
_atom_site_fract_y
_atom_site_fract_z
_atom_site_occupancy
Cs1 Cs 0.0000 0.0000 0.0000 1
Na1 Na 0.0000 0.0000 0.5000 1
Cl1 Cl 0.1811 0.7500 0.6250 1
# Energy relative to the elements, uncorrected (eV per formula unit): -7.20
# Volume (A^3/atom): 33.2

=====

No. 19
# Cs2NaNbCl | the Alexandria database | GGA-PBEsol | relaxed
data_Cs2NaNbCl
_symmetry_space_group_name_H-M 'P 4/m m m'
_symmetry_Int_Tables_number 123
_symmetry_space_group_name_Hall '-P 4 2'
_cell_length_a 7.5848
_cell_length_b 7.5848
_cell_length_c 4.7856
_cell_angle_alpha 90.00
_cell_angle_beta 90.00
_cell_angle_gamma 90.00
loop_
_atom_site_label
_atom_site_type_symbol
_atom_site_fract_x
_atom_site_fract_y
_atom_site_fract_z
_atom_site_occupancy
Cs1 Cs 0.0000 0.5000 0.0000 1
Na1 Na 0.0000 0.0000 0.5000 1
Nb1 Nb 0.5000 0.5000 0.0000 1
Cl1 Cl 0.5000 0.5000 0.5000 1
# Energy relative to the elements, uncorrected (eV per formula unit): 1.91
# Volume (A^3/atom): 55.1

=====

No. 20
# Cs2NaSbCl6 | the Alexandria database | GGA-PBEsol | relaxed
data_Cs2NaSbCl6
_symmetry_space_group_name_H-M 'F m -3 m'
_symmetry_Int_Tables_number 225
_symmetry_space_group_name_Hall '-F 4 2 3'
_cell_length_a 10.7062
_cell_length_b 10.7062
_cell_length_c 10.7062
_cell_angle_alpha 90.00
_cell_angle_beta 90.00
_cell_angle_gamma 90.00
loop_
_atom_site_label
_atom_site_type_symbol
_atom_site_fract_x
_atom_site_fract_y
_atom_site_fract_z
_atom_site_occupancy
Cs1 Cs 0.2500 0.2500 0.2500 1
Na1 Na 0.0000 0.0000 0.0000 1
Sb1 Sb 0.0000 0.0000 0.5000 1
Cl1 Cl 0.0000 0.0000 0.2544 1
# Energy relative to the elements, uncorrected (eV per formula unit): -15.52
# Volume (A^3/atom): 30.7

=====

| no. | theoretical density (g cm⁻³) |
| --- | --- |
| 1 | 3.087 |
| 2 | 3.187 |
| 3 | 2.738 |
| 4 | 3.016 |
| 5 | 3.474 |
| 6 | 3.597 |
| 7 | 1.881 |
| 8 | 3.976 |
| 9 | 3.825 |
| 10 | 3.172 |
| 11 | 3.036 |
| 12 | 3.588 |
| 13 | 3.463 |
| 14 | 3.627 |
| 15 | 3.758 |
| 16 | 4.080 |
| 17 | 4.013 |
| 18 | 2.838 |
| 19 | 2.516 |
| 20 | 3.374 |